# 1
Entry from Alexandria via LeMat-Bulk: an optimized crystal structure of MnGa2BrF (PBE+U).

Properties
VASP energy ... -3.121 eV/atom

Cell lengths 6.295, 6.295, 5.391 Å; angles 90.00, 90.00, 90.00 degrees
Fractional positions:
Mn 0.000 0.000 0.000
Ga 0.000 0.500 0.500
Ga 0.500 0.000 0.500
Br 0.000 0.000 0.500
F 0.500 0.500 0.000

=====

# 2
Entry from Alexandria via LeMat-Bulk: an optimized crystal structure of MnGaBr2F (PBE+U).

Properties
VASP energy ... -4.395 eV/atom

Cell lengths 5.500, 5.500, 4.063 Å; angles 90.00, 90.00, 90.00 degrees
Fractional positions:
Mn 0.000 0.000 0.000
Ga 0.500 0.500 0.500
Br 0.000 0.500 0.000
Br 0.500 0.000 0.000
F 0.000 0.000 0.500